(1)
This record from Alexandria describes an optimized crystal structure of SrNdAgPd. The functional is PBE.

Cell and atoms, written as POSCAR:
```
SrNdAgPd
1.0
-0.890 0.097 5.213
3.771 -1.578 3.356
2.485 3.543 3.041
Ag Pd Sr Nd
1 1 1 1
direct
0.250 0.250 0.250
0.750 0.750 0.750
0.500 0.500 0.500
0.000 0.000 0.000
```

Properties
- ΔH_f (0 K) (eV/atom) = -0.416
- relative energy among the computed polymorphs (eV per formula unit) = 0.197

***

(2)
This record from Alexandria describes an optimized crystal structure of SrNdAgPd. The functional is PBE.

Cell and atoms, written as POSCAR:
```
SrNdAgPd
1.0
-1.230 -3.932 -0.182
0.807 -0.460 4.473
-4.893 3.634 1.256
Nd Sr Pd Ag
1 1 1 1
direct
0.867 0.500 0.734
0.145 0.000 0.289
0.415 0.000 0.831
0.573 0.500 0.146
```

Properties
- ΔH_f (0 K) (eV/atom) = -0.465
- relative energy among the computed polymorphs (eV per formula unit) = 0.000

***

(3)
This record from Alexandria describes an optimized crystal structure of TbNdAgPd. The functional is PBE.

Cell and atoms, written as POSCAR:
```
TbNdAgPd
1.0
5.147 0.000 0.000
2.574 4.457 0.000
2.574 1.486 4.203
Nd Tb Pd Ag
1 1 1 1
direct
0.500 0.500 0.500
0.000 0.000 0.000
0.750 0.750 0.750
0.250 0.250 0.250
```

Properties
- ΔH_f (0 K) (eV/atom) = -0.528
- relative energy among the computed polymorphs (eV per formula unit) = 0.072

***

(4)
This record from Alexandria describes an optimized crystal structure of TbNdAgPd. The functional is PBE.

Cell and atoms, written as POSCAR:
```
TbNdAgPd
1.0
-1.590 -1.061 3.324
-0.192 -4.519 -1.534
5.746 -0.384 0.414
Ag Tb Pd Nd
1 1 1 1
direct
0.580 0.500 0.160
0.863 0.500 0.725
0.416 0.000 0.832
0.141 0.000 0.283
```

Properties
- ΔH_f (0 K) (eV/atom) = -0.547
- relative energy among the computed polymorphs (eV per formula unit) = 0.000

***

(5)
This record from Alexandria describes an optimized crystal structure of Nd2Zn3AgPd4. The functional is PBE.

Cell and atoms, written as POSCAR:
```
Nd2Zn3AgPd4
1.0
-1.362 3.760 -1.089
-1.271 0.665 3.889
10.177 4.430 2.568
Nd Pd Zn Ag
2 4 3 1
direct
0.500 0.000 0.244
0.000 0.500 0.756
0.500 0.500 0.000
0.500 0.000 0.653
0.000 0.000 0.000
0.000 0.500 0.347
0.500 0.000 0.872
0.000 0.000 0.500
0.000 0.500 0.128
0.500 0.500 0.500
```

Properties
- ΔH_f (0 K) (eV/atom) = -0.568

***

(6)
This record from Alexandria describes an optimized crystal structure of NdZnAgPd. The functional is PBE.

Cell and atoms, written as POSCAR:
```
NdZnAgPd
1.0
-3.390 -2.799 1.107
2.726 1.647 3.230
-3.584 3.562 -1.964
Ag Pd Zn Nd
1 1 1 1
direct
0.835 0.670 0.148
0.408 0.815 0.864
0.102 0.204 0.948
0.622 0.243 0.507
```

Properties
- ΔH_f (0 K) (eV/atom) = -0.467
- relative energy among the computed polymorphs (eV per formula unit) = 0.000

***

(7)
This record from Alexandria describes an optimized crystal structure of NdZnAgPd. The functional is PBE.

Cell and atoms, written as POSCAR:
```
NdZnAgPd
1.0
4.876 0.000 0.000
2.438 4.222 0.000
2.438 1.407 3.981
Ag Nd Zn Pd
1 1 1 1
direct
0.500 0.500 0.500
0.000 0.000 0.000
0.750 0.750 0.750
0.250 0.250 0.250
```

Properties
- ΔH_f (0 K) (eV/atom) = -0.368
- relative energy among the computed polymorphs (eV per formula unit) = 0.395

***

(8)
This record from Alexandria describes an optimized crystal structure of Nd2Zn4AgPd3. The functional is PBE.

Cell and atoms, written as POSCAR:
```
Nd2Zn4AgPd3
1.0
-2.319 -3.475 -0.881
3.359 -1.739 -1.980
3.164 -4.467 9.293
Zn Pd Nd Ag
4 3 2 1
direct
0.000 0.000 0.000
0.500 0.500 0.000
0.500 0.000 0.636
0.000 0.500 0.364
0.500 0.000 0.867
0.000 0.500 0.133
0.000 0.000 0.500
0.000 0.500 0.754
0.500 0.000 0.246
0.500 0.500 0.500
```

Properties
- ΔH_f (0 K) (eV/atom) = -0.511

***

(9)
This record from Alexandria describes an optimized crystal structure of Nd2ZnAg2Pd5. The functional is PBE.

Cell and atoms, written as POSCAR:
```
Nd2ZnAg2Pd5
1.0
3.976 0.000 0.000
0.000 9.856 0.000
0.000 0.000 9.856
Pd Ag Zn Nd
10 4 2 4
direct
0.500 0.500 0.000
0.500 0.694 0.446
0.500 0.306 0.554
0.500 0.194 0.054
0.500 0.000 0.500
0.500 0.054 0.806
0.500 0.554 0.694
0.500 0.946 0.194
0.500 0.446 0.306
0.500 0.806 0.946
0.000 0.627 0.873
0.000 0.127 0.627
0.000 0.873 0.373
0.000 0.373 0.127
0.000 0.500 0.500
0.000 0.000 0.000
0.000 0.673 0.173
0.000 0.173 0.327
0.000 0.827 0.673
0.000 0.327 0.827
```

Properties
- ΔH_f (0 K) (eV/atom) = -0.447

***

(10)
This record from Alexandria describes an optimized crystal structure of PmNdAg. The functional is PBE.

Cell and atoms, written as POSCAR:
```
PmNdAg
1.0
3.727 0.000 0.000
0.000 3.727 0.000
-1.864 -1.864 6.360
Nd Pm Ag
1 1 1
direct
0.018 0.018 0.035
0.314 0.314 0.628
0.669 0.669 0.337
```

Properties
- ΔH_f (0 K) (eV/atom) = -0.146
- relative energy among the computed polymorphs (eV per formula unit) = 0.032

***

(11)
This record from Alexandria describes an optimized crystal structure of PmNd2Ag2. The functional is PBE.

Cell and atoms, written as POSCAR:
```
PmNd2Ag2
1.0
0.447 3.402 -1.519
2.015 -2.268 -4.484
-12.946 -2.411 -4.598
Ag Pm Nd
4 2 4
direct
0.453 0.750 0.903
0.547 0.250 0.097
0.358 0.250 0.717
0.642 0.750 0.283
0.855 0.750 0.710
0.145 0.250 0.290
0.953 0.250 0.905
0.765 0.250 0.531
0.047 0.750 0.095
0.235 0.750 0.469
```

Properties
- ΔH_f (0 K) (eV/atom) = -0.188
- relative energy among the computed polymorphs (eV per formula unit) = 0.000

***

(12)
This record from Alexandria describes an optimized crystal structure of PmNdAg6. The functional is PBE.

Cell and atoms, written as POSCAR:
```
PmNdAg6
1.0
5.579 0.051 -0.727
-0.831 5.518 -0.717
0.033 0.039 5.626
Ag Pm Nd
6 1 1
direct
0.749 0.464 0.037
0.464 0.037 0.749
0.036 0.749 0.464
0.251 0.536 0.963
0.964 0.251 0.536
0.536 0.963 0.251
0.500 0.500 0.500
0.000 0.000 0.000
```

Properties
- ΔH_f (0 K) (eV/atom) = -0.228
- relative energy among the computed polymorphs (eV per formula unit) = 0.000

***

(13)
This record from Alexandria describes an optimized crystal structure of PmNd2Ag2. The functional is PBE.

Cell and atoms, written as POSCAR:
```
PmNd2Ag2
1.0
4.817 0.000 0.000
0.000 5.797 -0.711
0.000 -2.877 11.384
Nd Ag Pm
4 4 2
direct
0.750 0.713 0.455
0.250 0.287 0.545
0.250 0.775 0.879
0.750 0.225 0.121
0.250 0.341 0.972
0.750 0.659 0.028
0.750 0.141 0.362
0.250 0.859 0.638
0.250 0.802 0.219
0.750 0.198 0.781
```

Properties
- ΔH_f (0 K) (eV/atom) = -0.072
- relative energy among the computed polymorphs (eV per formula unit) = 0.584

***

(14)
This record from Alexandria describes an optimized crystal structure of PmNd2Ag6. The functional is PBE.

Cell and atoms, written as POSCAR:
```
PmNd2Ag6
1.0
3.570 0.000 0.000
0.000 7.217 -4.167
0.000 0.000 8.333
Ag Nd Pm
6 2 1
direct
0.500 0.333 0.000
0.500 0.667 0.000
0.500 0.000 0.667
0.500 0.333 0.333
0.500 0.000 0.333
0.500 0.667 0.667
0.000 0.333 0.667
0.000 0.667 0.333
0.000 0.000 0.000
```

Properties
- ΔH_f (0 K) (eV/atom) = -0.258

***

(15)
This record from Alexandria describes an optimized crystal structure of PmNd2Ag. The functional is PBE.

Cell and atoms, written as POSCAR:
```
PmNd2Ag
1.0
-4.517 3.166 -0.453
-3.781 0.021 4.042
-0.585 4.464 3.219
Nd Pm Ag
2 1 1
direct
0.750 0.750 0.750
0.250 0.250 0.250
0.000 0.000 0.000
0.500 0.500 0.500
```

Properties
- ΔH_f (0 K) (eV/atom) = 0.090
- relative energy among the computed polymorphs (eV per formula unit) = 0.777

***

(16)
This record from Alexandria describes an optimized crystal structure of Pm2Nd3Ag3. The functional is PBE.

Cell and atoms, written as POSCAR:
```
Pm2Nd3Ag3
1.0
3.731 0.000 -0.601
-0.205 5.282 -1.270
-0.048 -0.013 11.589
Pm Nd Ag
2 3 3
direct
0.269 0.769 0.537
0.731 0.231 0.463
0.500 0.000 0.000
0.380 0.380 0.759
0.620 0.620 0.241
0.118 0.118 0.235
0.882 0.882 0.765
0.000 0.500 0.000
```

Properties
- ΔH_f (0 K) (eV/atom) = -0.176

***

(17)
This record from Alexandria describes an optimized crystal structure of Pm5Nd4Ag. The functional is PBE.

Cell and atoms, written as POSCAR:
```
Pm5Nd4Ag
1.0
3.674 0.000 0.000
0.000 3.674 0.000
0.000 0.000 24.588
Nd Pm Ag
4 5 1
direct
0.000 0.000 0.395
0.000 0.000 0.605
0.000 0.000 0.184
0.000 0.000 0.816
0.500 0.500 0.711
0.500 0.500 0.079
0.500 0.500 0.921
0.500 0.500 0.500
0.500 0.500 0.289
0.000 0.000 0.000
```

Properties
- ΔH_f (0 K) (eV/atom) = -0.039

***

(18)
This record from Alexandria describes an optimized crystal structure of PmNd2Ag4. The functional is PBE.

Cell and atoms, written as POSCAR:
```
PmNd2Ag4
1.0
-0.838 -5.301 -1.091
0.591 -1.187 5.314
-6.195 4.060 -1.226
Ag Pm Nd
4 1 2
direct
0.382 0.882 0.765
0.618 0.118 0.235
0.882 0.382 0.765
0.118 0.618 0.235
0.000 0.000 0.000
0.280 0.280 0.560
0.720 0.720 0.440
```

Properties
- ΔH_f (0 K) (eV/atom) = -0.088

***

(19)
This record from Alexandria describes an optimized crystal structure of PmNd5Ag4. The functional is PBE.

Cell and atoms, written as POSCAR:
```
PmNd5Ag4
1.0
3.727 0.000 0.000
0.000 3.727 0.000
0.000 0.000 20.300
Nd Ag Pm
5 4 1
direct
0.500 0.500 0.875
0.500 0.500 0.500
0.500 0.500 0.125
0.500 0.500 0.312
0.500 0.500 0.688
0.000 0.000 0.594
0.000 0.000 0.781
0.000 0.000 0.219
0.000 0.000 0.406
0.000 0.000 0.000
```

Properties
- ΔH_f (0 K) (eV/atom) = -0.203

***

(20)
This record from Alexandria describes an optimized crystal structure of PmNdAg3. The functional is PBE.

Cell and atoms, written as POSCAR:
```
PmNdAg3
1.0
-6.262 -3.378 2.519
3.743 -8.009 -1.436
4.728 -3.886 6.540
Nd Ag Pm
4 12 4
direct
0.250 0.001 0.999
0.750 0.500 0.500
0.750 0.999 0.001
0.250 0.500 0.500
0.999 0.321 0.861
0.500 0.317 0.317
0.501 0.139 0.679
0.999 0.140 0.679
0.001 0.860 0.321
0.000 0.317 0.317
0.499 0.861 0.321
0.501 0.321 0.860
0.499 0.679 0.140
0.000 0.683 0.683
0.001 0.679 0.139
0.500 0.683 0.683
0.750 0.000 0.500
0.750 0.500 0.000
0.250 0.000 0.500
0.250 0.500 0.000
```

Properties
- ΔH_f (0 K) (eV/atom) = -0.169
- relative energy among the computed polymorphs (eV per formula unit) = 0.000

***

(21)
This record from Alexandria describes an optimized crystal structure of PmNd6Ag2. The functional is PBE.

Cell and atoms, written as POSCAR:
```
PmNd6Ag2
1.0
-2.254 -0.189 3.032
3.850 1.408 5.309
-1.638 11.726 1.875
Nd Ag Pm
6 2 1
direct
0.687 0.215 0.411
0.313 0.785 0.589
0.685 0.506 0.124
0.976 0.714 0.334
0.315 0.494 0.876
0.024 0.286 0.666
0.354 0.092 0.200
0.646 0.908 0.800
0.000 0.000 0.000
```

Properties
- ΔH_f (0 K) (eV/atom) = -0.102

***

(22)
This record from Alexandria describes an optimized crystal structure of PmNd6Ag. The functional is PBE.

Cell and atoms, written as POSCAR:
```
PmNd6Ag
1.0
9.633 0.000 0.033
4.808 7.199 -0.394
4.802 2.210 3.740
Nd Ag Pm
6 1 1
direct
0.431 0.763 0.853
0.048 0.431 0.758
0.569 0.237 0.147
0.763 0.952 0.716
0.952 0.569 0.242
0.237 0.048 0.284
0.000 0.000 0.000
0.500 0.500 0.500
```

Properties
- ΔH_f (0 K) (eV/atom) = 0.033

***

(23)
This record from Alexandria describes an optimized crystal structure of PmNd2Ag. The functional is PBE.

Cell and atoms, written as POSCAR:
```
PmNd2Ag
1.0
5.060 -0.001 0.000
-2.532 6.054 0.000
0.000 0.000 8.146
Pm Nd Ag
2 4 2
direct
0.053 0.106 0.750
0.947 0.894 0.250
0.360 0.721 0.967
0.640 0.279 0.467
0.360 0.721 0.533
0.640 0.279 0.033
0.205 0.409 0.250
0.795 0.591 0.750
```

Properties
- ΔH_f (0 K) (eV/atom) = -0.060
- relative energy among the computed polymorphs (eV per formula unit) = 0.175

***

(24)
This record from Alexandria describes an optimized crystal structure of PmNd2Ag. The functional is PBE.

Cell and atoms, written as POSCAR:
```
PmNd2Ag
1.0
3.707 0.000 0.000
0.000 5.671 0.000
0.000 0.000 5.671
Ag Pm Nd
1 1 2
direct
0.500 0.500 0.500
0.500 0.000 0.000
0.000 0.000 0.500
0.000 0.500 0.000
```

Properties
- ΔH_f (0 K) (eV/atom) = -0.008
- relative energy among the computed polymorphs (eV per formula unit) = 0.384

***

(25)
This record from Alexandria describes an optimized crystal structure of PmNd4Ag2. The functional is PBE.

Cell and atoms, written as POSCAR:
```
PmNd4Ag2
1.0
5.563 0.000 0.000
2.781 4.818 0.000
2.781 1.606 8.631
Ag Pm Nd
2 1 4
direct
0.612 0.612 0.163
0.388 0.388 0.837
0.500 0.500 0.500
0.728 0.728 0.815
0.127 0.127 0.619
0.272 0.272 0.185
0.873 0.873 0.381
```

Properties
- ΔH_f (0 K) (eV/atom) = 0.111